No. 1
LiNiBO3 | Alexandria | PBEsol | relaxed; E above lowest polymorph = 0 meV per atom; energy = -6.86 eV/atom; mass density = 3753 kg/m³; raw formation energy = -1710.5 meV per atom
1.0
4.864 0.046 0.000
-2.270 4.513 0.001
-2.271 -1.573 4.993
Li Ni B O
2 2 2 6
direct
0.446 0.395 0.684
0.554 0.605 0.316
0.176 0.765 0.749
0.824 0.235 0.251
0.810 0.094 0.747
0.190 0.906 0.253
0.007 0.318 0.662
0.993 0.682 0.338
0.621 0.156 0.850
0.379 0.844 0.150
0.772 0.805 0.711
0.228 0.195 0.289

---

No. 2
TaCo4Ni | Alexandria | PBEsol | relaxed; energy = -8.39 eV/atom; mass density = 11596 kg/m³; energy of formation = -114 meV per atom
1.0
4.583 0.000 0.000
2.292 3.969 0.000
2.292 1.323 3.742
Ni Co Ta
1 4 1
direct
0.250 0.250 0.250
0.624 0.624 0.128
0.128 0.624 0.624
0.624 0.128 0.624
0.624 0.624 0.624
0.000 0.000 0.000

---

No. 3
K3NpO2F5 | Alexandria | PBEsol | relaxed; energy = -6.32 eV/atom; mass density = 4314 kg/m³; raw formation energy = -2926.0 meV per atom
1.0
9.085 0.000 0.000
0.000 9.085 0.000
-4.542 -4.542 8.979
K Np O F
12 4 8 20
direct
0.324 0.845 0.223
0.628 0.074 0.723
0.095 0.649 0.723
0.899 0.378 0.223
0.926 0.905 0.277
0.622 0.676 0.777
0.155 0.101 0.777
0.351 0.372 0.277
0.500 0.500 0.000
0.750 0.250 0.500
0.000 0.000 0.000
0.250 0.750 0.500
0.979 0.479 0.958
0.729 0.729 0.458
0.271 0.271 0.542
0.521 0.021 0.042
0.773 0.533 0.457
0.174 0.523 0.957
0.783 0.433 0.957
0.683 0.924 0.457
0.477 0.217 0.043
0.076 0.227 0.543
0.467 0.317 0.543
0.567 0.826 0.043
0.251 0.928 0.960
0.282 0.001 0.460
0.178 0.459 0.460
0.709 0.032 0.960
0.999 0.822 0.540
0.968 0.749 0.040
0.072 0.291 0.040
0.541 0.718 0.540
0.395 0.895 0.790
0.145 0.145 0.290
0.855 0.855 0.710
0.105 0.605 0.210
0.485 0.609 0.259
0.900 0.235 0.759
0.859 0.524 0.759
0.774 0.650 0.259
0.765 0.141 0.241
0.350 0.515 0.741
0.391 0.226 0.741
0.476 0.100 0.241

---

No. 4
CsScSb3 | Alexandria | PBEsol | relaxed; energy = -2.84 eV/atom; mass density = 4542 kg/m³; raw formation energy = 1405.3 meV per atom
1.0
5.834 0.000 0.000
0.000 5.834 0.000
0.000 0.000 5.834
Cs Sb Sc
1 3 1
direct
0.000 0.000 0.000
0.000 0.500 0.000
0.000 0.000 0.500
0.500 0.000 0.000
0.500 0.500 0.500

---

No. 5
YAg5 | Alexandria | PBEsol | relaxed; energy = -4.02 eV/atom; mass density = 9462 kg/m³; energy of formation = -126 meV per atom
1.0
-1.805 3.470 1.504
-3.262 -3.314 -2.107
0.871 -1.937 5.515
Y Ag
1 5
direct
0.500 0.000 0.500
0.836 0.672 0.679
0.173 0.347 0.842
0.500 0.000 0.000
0.827 0.653 0.158
0.164 0.328 0.321

---

No. 6
ScTl2Os | Alexandria | PBEsol | relaxed; E above lowest polymorph = 0 meV per atom; energy = -5.92 eV/atom; mass density = 12499 kg/m³; energy of formation = 105 meV per atom
1.0
3.205 0.000 0.000
0.000 3.207 -0.264
0.000 -0.898 8.397
Os Sc Tl
1 1 2
direct
0.000 0.951 0.524
0.500 0.535 0.695
0.000 0.170 0.976
0.500 0.343 0.305